A plane-wave DFT calculation with PBE was carried out for crystalline Tm8Ni3Sb2 at its relaxed geometry.

CIF file:
```
data_Tm8Ni3Sb2
_symmetry_space_group_name_H-M 'P 1'
_symmetry_Int_Tables_number 1
_symmetry_space_group_name_Hall 'P 1'
_cell_length_a 6.440
_cell_length_b 7.141
_cell_length_c 8.654
_cell_angle_alpha 114.37
_cell_angle_beta 101.07
_cell_angle_gamma 90.00
loop_
_atom_site_label
_atom_site_type_symbol
_atom_site_fract_x
_atom_site_fract_y
_atom_site_fract_z
Ni1 Ni 0.500 0.000 0.000
Ni2 Ni 0.000 0.813 0.000
Ni3 Ni 0.000 0.187 0.000
Tm1 Tm 0.867 0.127 0.253
Tm2 Tm 0.153 0.429 0.858
Tm3 Tm 0.133 0.873 0.747
Tm4 Tm 0.367 0.862 0.212
Tm5 Tm 0.847 0.571 0.142
Tm6 Tm 0.633 0.138 0.788
Tm7 Tm 0.367 0.351 0.212
Tm8 Tm 0.633 0.649 0.788
Sb1 Sb 0.312 0.263 0.526
Sb2 Sb 0.688 0.737 0.474
```

- Crystal system: monoclinic
- Calculated total energy: -66.66 eV per formula unit
- E_form (uncorrected): -0.4074 eV/atom
- N(E_F): 11.13 states/eV/cell

A plane-wave DFT calculation with PBE was carried out for crystalline Os2Pb5O12 at its relaxed geometry.

CIF file:
```
data_Os2Pb5O12
_symmetry_space_group_name_H-M 'P 1'
_symmetry_Int_Tables_number 1
_symmetry_space_group_name_Hall 'P 1'
_cell_length_a 6.343
_cell_length_b 7.201
_cell_length_c 7.697
_cell_angle_alpha 105.60
_cell_angle_beta 90.00
_cell_angle_gamma 116.13
loop_
_atom_site_label
_atom_site_type_symbol
_atom_site_fract_x
_atom_site_fract_y
_atom_site_fract_z
Pb1 Pb 0.326 0.652 0.206
Pb2 Pb 0.702 0.403 0.361
Pb3 Pb 0.000 0.000 0.500
Pb4 Pb 0.674 0.348 0.794
Pb5 Pb 0.298 0.597 0.639
O1 O 0.368 0.271 0.565
O2 O 0.115 0.706 0.922
O3 O 0.632 0.729 0.435
O4 O 0.001 0.001 0.836
O5 O 0.591 0.706 0.922
O6 O 0.999 0.999 0.164
O7 O 0.902 0.271 0.565
O8 O 0.409 0.294 0.078
O9 O 0.500 0.000 0.831
O10 O 0.098 0.729 0.435
O11 O 0.885 0.294 0.078
O12 O 0.500 0.000 0.169
Os1 Os 0.246 0.000 0.000
Os2 Os 0.754 0.000 0.000
```

- Crystal system: monoclinic
- Calculated total energy: -119.66 eV per formula unit
- E_form (uncorrected): -1.0083 eV/atom
- N(E_F): 1.31 states/eV/cell

A plane-wave DFT calculation with PBE was carried out for crystalline LaCoS2Cl at its relaxed geometry.

CIF file:
```
data_LaCoS2Cl
_symmetry_space_group_name_H-M 'P 1'
_symmetry_Int_Tables_number 1
_symmetry_space_group_name_Hall 'P 1'
_cell_length_a 4.605
_cell_length_b 4.605
_cell_length_c 4.462
_cell_angle_alpha 90.00
_cell_angle_beta 90.00
_cell_angle_gamma 90.00
loop_
_atom_site_label
_atom_site_type_symbol
_atom_site_fract_x
_atom_site_fract_y
_atom_site_fract_z
S1 S 0.000 0.500 0.000
S2 S 0.500 0.000 0.000
Co1 Co 0.000 0.000 0.000
La1 La 0.500 0.500 0.500
Cl1 Cl 0.000 0.000 0.500
```

- Crystal system: tetragonal
- Calculated total energy: -27.70 eV per formula unit
- E_form (uncorrected): -1.1125 eV/atom
- N(E_F): 3.74 states/eV/cell

A plane-wave DFT calculation with PBE was carried out for crystalline RbCaSb2I at its relaxed geometry.

CIF file:
```
data_RbCaSb2I
_symmetry_space_group_name_H-M 'P 1'
_symmetry_Int_Tables_number 1
_symmetry_space_group_name_Hall 'P 1'
_cell_length_a 6.026
_cell_length_b 6.026
_cell_length_c 6.325
_cell_angle_alpha 90.00
_cell_angle_beta 90.00
_cell_angle_gamma 90.00
loop_
_atom_site_label
_atom_site_type_symbol
_atom_site_fract_x
_atom_site_fract_y
_atom_site_fract_z
Ca1 Ca 0.000 0.000 0.000
Rb1 Rb 0.500 0.500 0.500
Sb1 Sb 0.500 0.000 0.000
Sb2 Sb 0.000 0.500 0.000
I1 I 0.000 0.000 0.500
```

- Offset from the most stable computed form: 0.000 eV per formula unit
- Crystal system: tetragonal
- Calculated total energy: -14.23 eV per formula unit
- E_form (uncorrected): -0.2931 eV/atom
- N(E_F): 3.30 states/eV/cell